Density functional theory data (GGA-PBE) for a relaxed Sc2InRh crystal.

Calculated values
For the formation enthalpy at 0 K, the calculation gives -0.575 eV/atom. The space group is No. 216. The calculated total energy is -25.1 eV/cell.

a = 4.7288 Å, b = 4.7288 Å, c = 4.7288 Å
α = 60.00°, β = 60.00°, γ = 60.00°
Element x y z (fractional)
In (0.5000, 0.5000, 0.5000)
Rh (0.2500, 0.2500, 0.2500)
Sc (0.0000, 0.0000, 0.0000)
Sc (0.7500, 0.7500, 0.7500)